(1)
{"formula": "In2SiIr", "functional": "PBEsol", "state": "optimized geometry", "lattice_angstrom": [[4.007, 0.000, 0.000], [2.003, 3.470, 0.000], [2.003, 1.157, 5.867]], "species": ["In", "Si", "Ir", "In"], "frac_coords": [[0.770, 0.770, 0.691], [0.210, 0.210, 0.371], [0.540, 0.540, 0.379], [0.981, 0.981, 0.058]], "formation_energy_uncorrected_mev_per_atom": -116, "sg": "No. 160", "n_ef_per_ev_atom": 0.505}


(2)
{"formula": "InSiIr", "functional": "PBEsol", "state": "optimized geometry", "lattice_angstrom": [[4.321, 0.000, 0.000], [2.161, 3.742, 0.000], [2.161, 1.247, 3.528]], "species": ["Ir", "In", "Si"], "frac_coords": [[0.000, 0.000, 0.000], [0.250, 0.250, 0.250], [0.500, 0.500, 0.500]], "formation_energy_uncorrected_mev_per_atom": 693, "sg": "No. 216", "n_ef_per_ev_atom": 0.651}


(3)
{"formula": "In2SiIr", "functional": "PBEsol", "state": "optimized geometry", "lattice_angstrom": [[4.652, 0.000, 0.000], [2.326, 4.029, 0.000], [2.326, 1.343, 3.798]], "species": ["Si", "In", "In", "Ir"], "frac_coords": [[0.250, 0.250, 0.250], [0.750, 0.750, 0.750], [0.000, 0.000, 0.000], [0.500, 0.500, 0.500]], "formation_energy_uncorrected_mev_per_atom": 350, "sg": "No. 216", "n_ef_per_ev_atom": 0.733}


(4)
{"formula": "InSi2Ir", "functional": "PBEsol", "state": "optimized geometry", "lattice_angstrom": [[-0.787, -1.221, -3.551], [0.545, -3.619, 1.151], [-4.283, 2.102, 2.286]], "species": ["In", "Si", "Si", "Ir"], "frac_coords": [[0.500, 0.500, 0.000], [0.500, 0.000, 0.500], [0.000, 0.500, 0.500], [0.000, 0.000, 0.000]], "formation_energy_uncorrected_mev_per_atom": 311, "sg": "No. 69", "n_ef_per_ev_atom": 0.551}


(5)
{"formula": "InSiIr2", "functional": "PBEsol", "state": "optimized geometry", "lattice_angstrom": [[4.450, 0.000, 0.000], [2.225, 3.854, 0.000], [2.225, 1.285, 3.634]], "species": ["In", "Si", "Ir", "Ir"], "frac_coords": [[0.500, 0.500, 0.500], [0.250, 0.250, 0.250], [0.750, 0.750, 0.750], [0.000, 0.000, 0.000]], "formation_energy_uncorrected_mev_per_atom": 328, "sg": "No. 216", "n_ef_per_ev_atom": 0.977}


(6)
{"formula": "InSi2Ir", "functional": "PBEsol", "state": "optimized geometry", "lattice_angstrom": [[3.097, 0.000, 0.000], [0.000, 4.434, 0.000], [0.000, 0.000, 4.721]], "species": ["Si", "Ir", "In", "Si"], "frac_coords": [[0.500, 0.500, 0.000], [0.000, 0.500, 0.500], [0.500, 0.000, 0.500], [0.000, 0.000, 0.000]], "formation_energy_uncorrected_mev_per_atom": 371, "sg": "No. 47", "n_ef_per_ev_atom": 0.478}


(7)
{"formula": "InSiIr2", "functional": "PBEsol", "state": "optimized geometry", "lattice_angstrom": [[3.747, 0.000, 0.000], [0.000, 3.747, 0.000], [-1.874, -1.874, 4.294]], "species": ["Ir", "Si", "In", "Ir"], "frac_coords": [[0.000, 0.000, 0.000], [0.500, 0.500, 0.000], [0.250, 0.750, 0.500], [0.750, 0.250, 0.500]], "formation_energy_uncorrected_mev_per_atom": 56, "sg": "No. 119", "n_ef_per_ev_atom": 0.875}


(8)
{"formula": "InSiIr2", "functional": "PBEsol", "state": "optimized geometry", "lattice_angstrom": [[2.892, 0.000, 0.000], [0.000, 2.892, 0.000], [0.000, 0.000, 7.060]], "species": ["Ir", "Si", "Ir", "In"], "frac_coords": [[0.000, 0.000, 0.205], [0.500, 0.500, 0.000], [0.000, 0.000, 0.795], [0.500, 0.500, 0.500]], "formation_energy_uncorrected_mev_per_atom": -413, "sg": "No. 123", "n_ef_per_ev_atom": 0.216}


(9)
{"formula": "InSi2Ir", "functional": "PBEsol", "state": "optimized geometry", "lattice_angstrom": [[2.935, 0.000, 0.000], [0.000, 2.934, 0.000], [0.000, 0.000, 7.614]], "species": ["Si", "In", "Ir", "Si"], "frac_coords": [[0.000, 0.000, 0.701], [0.500, 0.500, 0.000], [0.500, 0.500, 0.500], [0.000, 0.000, 0.299]], "formation_energy_uncorrected_mev_per_atom": -60, "sg": "No. 123", "n_ef_per_ev_atom": 0.516}


(10)
{"formula": "InSi3Ir", "functional": "PBEsol", "state": "optimized geometry", "lattice_angstrom": [[4.813, 0.000, 0.000], [0.000, 4.813, 0.000], [0.000, 0.000, 4.813]], "species": ["In", "Ir", "Si", "Si", "Si"], "frac_coords": [[0.000, 0.000, 0.000], [0.500, 0.500, 0.500], [0.000, 0.500, 0.000], [0.000, 0.000, 0.500], [0.500, 0.000, 0.000]], "formation_energy_uncorrected_mev_per_atom": 1951, "sg": "No. 221", "n_ef_per_ev_atom": 0.790}


(11)
{"formula": "InSiIr2", "functional": "PBEsol", "state": "optimized geometry", "lattice_angstrom": [[-1.290, 0.395, -2.609], [-3.300, -2.871, 1.197], [-1.806, 3.887, 1.482]], "species": ["In", "Ir", "Ir", "Si"], "frac_coords": [[0.500, 0.500, 0.500], [0.000, 0.000, 0.500], [0.000, 0.500, 0.000], [0.500, 0.000, 0.000]], "formation_energy_uncorrected_mev_per_atom": -102, "sg": "No. 65", "n_ef_per_ev_atom": 0.290}


(12)
{"formula": "SmIn2Ir", "functional": "PBEsol", "state": "optimized geometry", "lattice_angstrom": [[-3.144, 1.020, 2.776], [2.830, -4.499, 1.503], [5.056, 4.537, 4.060]], "species": ["In", "In", "In", "In", "Ir", "Ir", "Sm", "Sm"], "frac_coords": [[0.143, 0.287, 0.051], [0.143, 0.287, 0.449], [0.857, 0.713, 0.949], [0.857, 0.713, 0.551], [0.281, 0.561, 0.750], [0.719, 0.439, 0.250], [0.571, 0.141, 0.750], [0.429, 0.859, 0.250]], "formation_energy_ev_per_fu": -2.25, "sg": "No. 63", "n_ef_per_ev_atom": 0.595}